Na2RePRh: relaxed, PBEsol.

Values from the calculation:
For the energy of formation, the calculation gives 1.13 eV per atom. As for the total DFT energy (no corrections): -4.880 eV per atom.

a b c (Å): 4.7879 4.7879 4.4354
angles (deg): 90.00 90.00 90.00
Space group P4/mmm (No. 123)
Symmetry-distinct sites (fractional):
Na: 0.0000 0.5000 0.0000 x2
Re: 0.0000 0.0000 0.5000 x1
P: 0.0000 0.0000 0.0000 x1
Rh: 0.5000 0.5000 0.5000 x1